1.
LiBeCoTe: relaxed, PBE-GGA.

CIF file:
```
data_LiBeCoTe
_cell_length_a 4.190
_cell_length_b 4.190
_cell_length_c 4.190
_cell_angle_alpha 60.00
_cell_angle_beta 60.00
_cell_angle_gamma 60.00
_symmetry_space_group_name_H-M 'P 1'
_symmetry_Int_Tables_number 1
_symmetry_space_group_name_Hall 'P 1'
loop_
_atom_site_label
_atom_site_type_symbol
_atom_site_fract_x
_atom_site_fract_y
_atom_site_fract_z
Li1 Li 0.000 0.000 0.000
Be1 Be 0.750 0.750 0.750
Co1 Co 0.500 0.500 0.500
Te1 Te 0.250 0.250 0.250
```

Results
* energy above the most stable polymorph in this dataset: 0.0 meV/atom
* symmetry: F-43m


2.
LiBeCoTe: relaxed, PBE-GGA.

CIF file:
```
data_LiBeCoTe
_cell_length_a 4.234
_cell_length_b 4.234
_cell_length_c 4.234
_cell_angle_alpha 60.00
_cell_angle_beta 60.00
_cell_angle_gamma 60.00
_symmetry_space_group_name_H-M 'P 1'
_symmetry_Int_Tables_number 1
_symmetry_space_group_name_Hall 'P 1'
loop_
_atom_site_label
_atom_site_type_symbol
_atom_site_fract_x
_atom_site_fract_y
_atom_site_fract_z
Li1 Li 0.000 0.000 0.000
Be1 Be 0.500 0.500 0.500
Co1 Co 0.250 0.250 0.250
Te1 Te 0.750 0.750 0.750
```

Results
* energy above the most stable polymorph in this dataset: 283.9 meV/atom
* symmetry: F-43m


3.
LiBeTlCo: relaxed, PBE-GGA.

CIF file:
```
data_LiBeTlCo
_cell_length_a 4.237
_cell_length_b 4.237
_cell_length_c 4.237
_cell_angle_alpha 60.00
_cell_angle_beta 60.00
_cell_angle_gamma 60.00
_symmetry_space_group_name_H-M 'P 1'
_symmetry_Int_Tables_number 1
_symmetry_space_group_name_Hall 'P 1'
loop_
_atom_site_label
_atom_site_type_symbol
_atom_site_fract_x
_atom_site_fract_y
_atom_site_fract_z
Li1 Li 0.000 0.000 0.000
Be1 Be 0.750 0.750 0.750
Tl1 Tl 0.250 0.250 0.250
Co1 Co 0.500 0.500 0.500
```

Results
* energy above the most stable polymorph in this dataset: 0.0 meV/atom
* symmetry: F-43m


4.
LiBeZnCo: relaxed, PBE-GGA.

CIF file:
```
data_LiBeZnCo
_cell_length_a 3.929
_cell_length_b 3.929
_cell_length_c 3.929
_cell_angle_alpha 60.00
_cell_angle_beta 60.00
_cell_angle_gamma 60.00
_symmetry_space_group_name_H-M 'P 1'
_symmetry_Int_Tables_number 1
_symmetry_space_group_name_Hall 'P 1'
loop_
_atom_site_label
_atom_site_type_symbol
_atom_site_fract_x
_atom_site_fract_y
_atom_site_fract_z
Li1 Li 0.000 0.000 0.000
Be1 Be 0.250 0.250 0.250
Zn1 Zn 0.750 0.750 0.750
Co1 Co 0.500 0.500 0.500
```

Results
* energy above the most stable polymorph in this dataset: 0.0 meV/atom
* symmetry: F-43m


5.
LiBeZnCo: relaxed, PBE-GGA.

CIF file:
```
data_LiBeZnCo
_cell_length_a 3.877
_cell_length_b 3.877
_cell_length_c 3.877
_cell_angle_alpha 60.00
_cell_angle_beta 60.00
_cell_angle_gamma 60.00
_symmetry_space_group_name_H-M 'P 1'
_symmetry_Int_Tables_number 1
_symmetry_space_group_name_Hall 'P 1'
loop_
_atom_site_label
_atom_site_type_symbol
_atom_site_fract_x
_atom_site_fract_y
_atom_site_fract_z
Li1 Li 0.000 0.000 0.000
Be1 Be 0.500 0.500 0.500
Zn1 Zn 0.750 0.750 0.750
Co1 Co 0.250 0.250 0.250
```

Results
* energy above the most stable polymorph in this dataset: 17.5 meV/atom
* symmetry: F-43m


6.
LuBeCoPb: relaxed, PBE-GGA.

CIF file:
```
data_LuBeCoPb
_cell_length_a 4.663
_cell_length_b 4.663
_cell_length_c 4.663
_cell_angle_alpha 60.00
_cell_angle_beta 60.00
_cell_angle_gamma 60.00
_symmetry_space_group_name_H-M 'P 1'
_symmetry_Int_Tables_number 1
_symmetry_space_group_name_Hall 'P 1'
loop_
_atom_site_label
_atom_site_type_symbol
_atom_site_fract_x
_atom_site_fract_y
_atom_site_fract_z
Lu1 Lu 0.000 0.000 0.000
Be1 Be 0.500 0.500 0.500
Co1 Co 0.250 0.250 0.250
Pb1 Pb 0.750 0.750 0.750
```

Results
* energy above the most stable polymorph in this dataset: 229.8 meV/atom
* symmetry: F-43m


7.
LuBeCoPb: relaxed, PBE-GGA.

CIF file:
```
data_LuBeCoPb
_cell_length_a 4.612
_cell_length_b 4.612
_cell_length_c 4.612
_cell_angle_alpha 60.00
_cell_angle_beta 60.00
_cell_angle_gamma 60.00
_symmetry_space_group_name_H-M 'P 1'
_symmetry_Int_Tables_number 1
_symmetry_space_group_name_Hall 'P 1'
loop_
_atom_site_label
_atom_site_type_symbol
_atom_site_fract_x
_atom_site_fract_y
_atom_site_fract_z
Lu1 Lu 0.000 0.000 0.000
Be1 Be 0.250 0.250 0.250
Co1 Co 0.500 0.500 0.500
Pb1 Pb 0.750 0.750 0.750
```

Results
* energy above the most stable polymorph in this dataset: 132.5 meV/atom
* symmetry: F-43m


8.
LuBeCoPb: relaxed, PBE-GGA.

CIF file:
```
data_LuBeCoPb
_cell_length_a 4.557
_cell_length_b 4.557
_cell_length_c 4.557
_cell_angle_alpha 60.00
_cell_angle_beta 60.00
_cell_angle_gamma 60.00
_symmetry_space_group_name_H-M 'P 1'
_symmetry_Int_Tables_number 1
_symmetry_space_group_name_Hall 'P 1'
loop_
_atom_site_label
_atom_site_type_symbol
_atom_site_fract_x
_atom_site_fract_y
_atom_site_fract_z
Lu1 Lu 0.000 0.000 0.000
Be1 Be 0.250 0.250 0.250
Co1 Co 0.750 0.750 0.750
Pb1 Pb 0.500 0.500 0.500
```

Results
* energy above the most stable polymorph in this dataset: 0.0 meV/atom
* symmetry: F-43m


9.
LuBeCoSi: relaxed, PBE-GGA.

CIF file:
```
data_LuBeCoSi
_cell_length_a 4.267
_cell_length_b 4.267
_cell_length_c 4.267
_cell_angle_alpha 60.00
_cell_angle_beta 60.00
_cell_angle_gamma 60.00
_symmetry_space_group_name_H-M 'P 1'
_symmetry_Int_Tables_number 1
_symmetry_space_group_name_Hall 'P 1'
loop_
_atom_site_label
_atom_site_type_symbol
_atom_site_fract_x
_atom_site_fract_y
_atom_site_fract_z
Lu1 Lu 0.000 0.000 0.000
Be1 Be 0.750 0.750 0.750
Co1 Co 0.500 0.500 0.500
Si1 Si 0.250 0.250 0.250
```

Results
* energy above the most stable polymorph in this dataset: 85.8 meV/atom
* symmetry: F-43m


10.
LuBeCoSi: relaxed, PBE-GGA.

CIF file:
```
data_LuBeCoSi
_cell_length_a 4.312
_cell_length_b 4.312
_cell_length_c 4.312
_cell_angle_alpha 60.00
_cell_angle_beta 60.00
_cell_angle_gamma 60.00
_symmetry_space_group_name_H-M 'P 1'
_symmetry_Int_Tables_number 1
_symmetry_space_group_name_Hall 'P 1'
loop_
_atom_site_label
_atom_site_type_symbol
_atom_site_fract_x
_atom_site_fract_y
_atom_site_fract_z
Lu1 Lu 0.000 0.000 0.000
Be1 Be 0.500 0.500 0.500
Co1 Co 0.750 0.750 0.750
Si1 Si 0.250 0.250 0.250
```

Results
* energy above the most stable polymorph in this dataset: 253.9 meV/atom
* symmetry: F-43m


11.
LuBeCoSi: relaxed, PBE-GGA.

CIF file:
```
data_LuBeCoSi
_cell_length_a 4.225
_cell_length_b 4.225
_cell_length_c 4.225
_cell_angle_alpha 60.00
_cell_angle_beta 60.00
_cell_angle_gamma 60.00
_symmetry_space_group_name_H-M 'P 1'
_symmetry_Int_Tables_number 1
_symmetry_space_group_name_Hall 'P 1'
loop_
_atom_site_label
_atom_site_type_symbol
_atom_site_fract_x
_atom_site_fract_y
_atom_site_fract_z
Lu1 Lu 0.000 0.000 0.000
Be1 Be 0.750 0.750 0.750
Co1 Co 0.250 0.250 0.250
Si1 Si 0.500 0.500 0.500
```

Results
* energy above the most stable polymorph in this dataset: 0.0 meV/atom
* symmetry: F-43m


12.
LuBeZnCo: relaxed, PBE-GGA.

CIF file:
```
data_LuBeZnCo
_cell_length_a 4.350
_cell_length_b 4.350
_cell_length_c 4.350
_cell_angle_alpha 60.00
_cell_angle_beta 60.00
_cell_angle_gamma 60.00
_symmetry_space_group_name_H-M 'P 1'
_symmetry_Int_Tables_number 1
_symmetry_space_group_name_Hall 'P 1'
loop_
_atom_site_label
_atom_site_type_symbol
_atom_site_fract_x
_atom_site_fract_y
_atom_site_fract_z
Lu1 Lu 0.000 0.000 0.000
Be1 Be 0.250 0.250 0.250
Zn1 Zn 0.500 0.500 0.500
Co1 Co 0.750 0.750 0.750
```

Results
* energy above the most stable polymorph in this dataset: 0.0 meV/atom
* symmetry: F-43m